A plane-wave DFT calculation with GGA+U was carried out for a geometry-optimized CrSiRhO2 structure.

Summary:
- Crystal system: tetragonal
- V: 75.8 Å³/cell
- Uncorrected energy: -28.1 eV/cell

Lattice parameters (Å, degrees): 3.746 3.746 5.398 90.00 90.00 90.00
Space group P4/mmm (No. 123)
Inequivalent atoms, fractional coordinates:
Cr 0.000 0.000 0.000 (multiplicity 1)
Si 0.500 0.500 0.000 (multiplicity 1)
Rh 0.500 0.500 0.500 (multiplicity 1)
O 0.000 0.500 0.500 (multiplicity 2)